{"formula": "AlIn2Pb", "functional": "PBE-GGA", "state": "relaxed", "formation_energy_mev_per_atom": 147.9, "sg": "Pm (6)", "total_energy_ev_per_fu": -12.34, "cell": [[-2.3970, -0.9687, 4.3138], [1.2348, -3.2774, -0.0499], [5.5344, -0.1238, 3.0474]], "species": ["Pb", "Al", "In", "In"], "frac_coords": [[0.0000, 0.5594, 0.5483], [0.5000, 0.9676, 0.7253], [0.0000, 0.7849, 0.0147], [0.5000, 0.1882, 0.2117]]}

{"formula": "AlIn2Pb", "functional": "PBE-GGA", "state": "relaxed", "formation_energy_mev_per_atom": 152.2, "sg": "P2/m (10)", "total_energy_ev_per_fu": -12.32, "cell": [[-3.4894, 2.7299, 2.5312], [-2.4276, -1.9384, -1.2560], [-0.3758, -4.5142, 4.3506]], "species": ["Pb", "Al", "In", "In"], "frac_coords": [[0.5000, 0.2500, 0.2500], [0.5000, 0.7500, 0.7500], [0.0000, 0.9157, 0.9829], [0.0000, 0.5843, 0.5171]]}

{"formula": "AlIn2Pb", "functional": "PBE-GGA", "state": "relaxed", "formation_energy_mev_per_atom": 156.0, "sg": "I4/mmm (139)", "total_energy_ev_per_fu": -12.30, "cell": [[5.9341, 0.2005, 0.0000], [2.2126, 5.5098, 0.0000], [-4.0734, -2.8551, 3.2419]], "species": ["Pb", "Al", "In", "In"], "frac_coords": [[0.2500, 0.7500, 0.5000], [0.7500, 0.2500, 0.5000], [0.0000, 0.0000, 0.0000], [0.5000, 0.5000, 0.0000]]}

{"formula": "AlIn2Pb2", "functional": "PBE-GGA", "state": "relaxed", "formation_energy_mev_per_atom": 269.9, "sg": "I4/mmm (139)", "total_energy_ev_per_fu": -15.29, "cell": [[-2.8095, 2.5443, -1.7841], [-3.0081, -1.6233, 2.4220], [-1.3471, 6.2804, 6.1593]], "species": ["Pb", "Pb", "Al", "In", "In"], "frac_coords": [[0.4046, 0.4046, 0.1909], [0.5954, 0.5954, 0.8091], [0.0000, 0.0000, 0.0000], [0.7500, 0.2500, 0.5000], [0.2500, 0.7500, 0.5000]]}

{"formula": "Al2InPb", "functional": "PBE-GGA", "state": "relaxed", "formation_energy_mev_per_atom": 253.0, "sg": "Fm-3m (225)", "total_energy_ev_per_fu": -12.92, "cell": [[0.0000, 3.6275, 3.6275], [3.6275, 0.0000, 3.6275], [3.6275, 3.6275, 0.0000]], "species": ["Pb", "Al", "Al", "In"], "frac_coords": [[0.5000, 0.5000, 0.5000], [0.2500, 0.2500, 0.2500], [0.7500, 0.7500, 0.7500], [0.0000, 0.0000, 0.0000]]}

{"formula": "AlInPb", "functional": "PBE-GGA", "state": "relaxed", "formation_energy_mev_per_atom": 140.0, "sg": "F-43m (216)", "total_energy_ev_per_fu": -9.77, "cell": [[-3.3261, -0.3149, -3.6009], [-3.0511, -3.8446, -0.1959], [-4.7710, 0.5972, 1.0044]], "species": ["Pb", "Al", "In"], "frac_coords": [[0.5000, 0.5000, 0.5000], [0.7500, 0.7500, 0.7500], [0.0000, 0.0000, 0.0000]]}

{"formula": "Al2InPb2", "functional": "PBE-GGA", "state": "relaxed", "formation_energy_mev_per_atom": 250.0, "sg": "I4/mmm (139)", "total_energy_ev_per_fu": -16.39, "cell": [[4.8786, 0.0000, 0.0000], [0.0000, 4.8786, 0.0000], [2.4393, 2.4393, 5.9365]], "species": ["Pb", "Pb", "Al", "Al", "In"], "frac_coords": [[0.7500, 0.2500, 0.5000], [0.2500, 0.7500, 0.5000], [0.3933, 0.3933, 0.2134], [0.6067, 0.6067, 0.7866], [0.0000, 0.0000, 0.0000]]}

{"formula": "AlIn2Pb", "functional": "PBE-GGA", "state": "relaxed", "formation_energy_mev_per_atom": 172.6, "sg": "Fm-3m (225)", "total_energy_ev_per_fu": -12.24, "cell": [[0.0000, 3.7641, 3.7641], [3.7641, 0.0000, 3.7641], [3.7641, 3.7641, 0.0000]], "species": ["Pb", "Al", "In", "In"], "frac_coords": [[0.5000, 0.5000, 0.5000], [0.0000, 0.0000, 0.0000], [0.2500, 0.2500, 0.2500], [0.7500, 0.7500, 0.7500]]}

{"formula": "Al3InPb", "functional": "PBE-GGA", "state": "relaxed", "formation_energy_mev_per_atom": 732.1, "sg": "Pm-3m (221)", "total_energy_ev_per_fu": -14.01, "cell": [[-1.3763, 5.0433, -0.3230], [-4.5603, -1.0951, 2.3319], [2.1778, 0.8940, 4.6788]], "species": ["Pb", "Al", "Al", "Al", "In"], "frac_coords": [[0.5000, 0.5000, 0.5000], [0.0000, 0.5000, 0.0000], [0.0000, 0.0000, 0.5000], [0.5000, 0.0000, 0.0000], [0.0000, 0.0000, 0.0000]]}

{"formula": "Al2InPb", "functional": "PBE-GGA", "state": "relaxed", "formation_energy_mev_per_atom": 209.1, "sg": "Imm2 (44)", "total_energy_ev_per_fu": -13.10, "cell": [[6.1254, -0.0571, -0.0608], [2.9106, 5.3900, 0.0608], [-3.8078, -3.8699, 2.8377]], "species": ["Pb", "Al", "Al", "In"], "frac_coords": [[0.7658, 0.2658, 0.5000], [0.0237, 0.0237, 0.0000], [0.2315, 0.7315, 0.5000], [0.4790, 0.4790, 0.0000]]}

{"formula": "Al2InPb", "functional": "PBE-GGA", "state": "relaxed", "formation_energy_mev_per_atom": 221.9, "sg": "P2/m (10)", "total_energy_ev_per_fu": -13.04, "cell": [[-2.2280, 3.3429, -0.8776], [-2.2807, -1.9334, -1.5745], [-5.9270, -2.8668, 4.1273]], "species": ["Pb", "Al", "Al", "In"], "frac_coords": [[0.5000, 0.7500, 0.7500], [0.0000, 0.9756, 0.0314], [0.0000, 0.5244, 0.4686], [0.5000, 0.2500, 0.2500]]}

{"formula": "AlInPb", "functional": "PBE-GGA", "state": "relaxed", "formation_energy_mev_per_atom": 165.5, "sg": "Fmm2 (42)", "total_energy_ev_per_fu": -9.69, "cell": [[6.9989, -0.0289, 0.0206], [6.1981, 3.2272, 0.7200], [0.8008, -0.4016, 3.3060]], "species": ["Pb", "Al", "In"], "frac_coords": [[0.6569, 0.6569, 0.3431], [0.9924, 0.9924, 0.0076], [0.3507, 0.3507, 0.6493]]}

What energy relative to the lowest polymorph listed for this composition values result from the calculations? In sequence: 56; 60; 64; 103; 109; 4; 84; 81; 0; 65; 78; 30 meV/atom.